No. 1
A relaxed KTlGaAu3 crystal. Source: the Alexandria database, functional GGA-PBE.

Unit cell a=7.0622 b=13.9771 c=6.8695 alpha=90.00 beta=99.71 gamma=90.00
Space group C2/c (No. 15)
One atom of each set of equivalent atoms:
K: 0.0000 0.2488 0.2500 x4
Tl: 0.0000 0.4143 0.7500 x4
Ga: 0.0000 0.0243 0.7500 x4
Au: 0.0000 0.2075 0.7500 x4
Au: 0.2388 0.0635 0.5202 x8

Output
As for the total energy: -2.87 eV/atom. The density of states at the Fermi level is 8.19 states/eV/cell. The calculation puts the total moment at 0.00 μB/cell.

No. 2
A relaxed K2Tl6GaAu crystal. Source: the Alexandria database, functional GGA-PBE.

Unit cell a=6.8280 b=10.7041 c=9.5995 alpha=90.00 beta=90.00 gamma=90.00
Space group Pmmn (No. 59, origin choice 2)
One atom of each set of equivalent atoms:
K: 0.2500 0.0128 0.2239 x4
Tl: 0.0054 0.7500 0.4926 x4
Tl: 0.0119 0.7500 0.0039 x4
Tl: 0.2500 0.0002 0.6291 x4
Ga: 0.2500 0.2500 0.7691 x2
Au: 0.2500 0.7500 0.7589 x2

Output
As for the total energy: -2.26 eV/atom. The density of states at the Fermi level is 11.79 states/eV/cell. The calculation puts the total moment at 0.00 μB/cell.

No. 3
A relaxed K2TlGa3Au4 crystal. Source: the Alexandria database, functional GGA-PBE.

Unit cell a=4.7691 b=4.7691 c=10.7953 alpha=90.00 beta=90.00 gamma=90.00
Space group P-4m2 (No. 115)
One atom of each set of equivalent atoms:
K: 0.0000 0.5000 0.2398 x2
Tl: 0.0000 0.0000 0.5000 x1
Ga: 0.0000 0.5000 0.8909 x2
Ga: 0.5000 0.5000 0.5000 x1
Au: 0.0000 0.0000 0.0000 x1
Au: 0.0000 0.5000 0.6504 x2
Au: 0.5000 0.5000 0.0000 x1

Output
As for the total energy: -2.95 eV/atom. The density of states at the Fermi level is 5.77 states/eV/cell. The calculation puts the total moment at 0.00 μB/cell.

No. 4
A relaxed KZn2GaAu4 crystal. Source: the Alexandria database, functional GGA-PBE.

Unit cell a=4.4534 b=4.4534 c=30.4217 alpha=90.00 beta=90.00 gamma=120.00
Space group R-3m (No. 166, hexagonal axes)
One atom of each set of equivalent atoms:
K: 0.0000 0.0000 0.0000 x3
Zn: 0.0000 0.0000 0.2426 x6
Ga: 0.0000 0.0000 0.5000 x3
Au: 0.0000 0.0000 0.1362 x6
Au: 0.0000 0.0000 0.4126 x6

Output
As for the total energy: -2.65 eV/atom. The density of states at the Fermi level is 2.79 states/eV/cell. The calculation puts the total moment at 0.00 μB/cell.

No. 5
A relaxed K2Zn3GaAu4 crystal. Source: the Alexandria database, functional GGA-PBE.

Unit cell a=4.6303 b=4.6303 c=10.6102 alpha=90.00 beta=90.00 gamma=90.00
Space group P-4m2 (No. 115)
One atom of each set of equivalent atoms:
K: 0.0000 0.5000 0.2449 x2
Zn: 0.0000 0.5000 0.8739 x2
Zn: 0.5000 0.5000 0.5000 x1
Ga: 0.0000 0.0000 0.5000 x1
Au: 0.0000 0.0000 0.0000 x1
Au: 0.0000 0.5000 0.6247 x2
Au: 0.5000 0.5000 0.0000 x1

Output
As for the total energy: -2.47 eV/atom. The density of states at the Fermi level is 4.68 states/eV/cell. The calculation puts the total moment at 0.00 μB/cell.

No. 6
A relaxed KZnGa2Au crystal. Source: the Alexandria database, functional GGA-PBE.

Unit cell a=4.7353 b=4.7353 c=10.2514 alpha=90.00 beta=90.00 gamma=90.00
Space group I-4m2 (No. 119)
One atom of each set of equivalent atoms:
K: 0.0000 0.0000 0.0000 x2
Zn: 0.0000 0.5000 0.7500 x2
Ga: 0.0000 0.0000 0.3675 x4
Au: 0.0000 0.5000 0.2500 x2

Output
As for the total energy: -2.52 eV/atom. The density of states at the Fermi level is 2.36 states/eV/cell. The calculation puts the total moment at 0.00 μB/cell.

No. 7
A relaxed K2ZnGaAu6 crystal. Source: the Alexandria database, functional GGA-PBE.

Unit cell a=7.0002 b=7.0053 c=7.1009 alpha=90.01 beta=119.44 gamma=119.97
Space group P-1 (No. 2)
One atom of each set of equivalent atoms:
K: 0.0850 0.2929 0.3772 x2
Zn: 0.5000 0.0000 0.5000 x1
Ga: 0.5000 0.5000 0.0000 x1
Au: 0.0051 0.2517 0.8518 x2
Au: 0.3983 0.1522 0.1467 x2
Au: 0.4013 0.7477 0.1485 x2

Output
As for the total energy: -2.89 eV/atom. The density of states at the Fermi level is 2.32 states/eV/cell. The calculation puts the total moment at 0.00 μB/cell.

No. 8
A relaxed LaGa3Au5 crystal. Source: the Alexandria database, functional GGA-PBE.

Unit cell a=4.0790 b=13.4076 c=13.7875 alpha=90.00 beta=90.00 gamma=90.00
Space group Cmcm (No. 63)
One atom of each set of equivalent atoms:
La: 0.0000 0.1829 0.2500 x4
Ga: 0.0000 0.0768 0.7500 x4
Ga: 0.0000 0.3617 0.5085 x8
Au: 0.0000 0.0000 0.0000 x4
Au: 0.0000 0.2002 0.6069 x8
Au: 0.0000 0.4952 0.6495 x8

Output
As for the total energy: -3.79 eV/atom. The density of states at the Fermi level is 12.26 states/eV/cell. The calculation puts the total moment at 0.00 μB/cell.

No. 9
A relaxed La2GaAu2 crystal. Source: the Alexandria database, functional GGA-PBE.

Unit cell a=5.8759 b=5.8759 c=8.1947 alpha=90.00 beta=90.00 gamma=90.00
Space group I4/mmm (No. 139)
One atom of each set of equivalent atoms:
La: 0.0000 0.5000 0.2500 x4
Ga: 0.0000 0.0000 0.0000 x2
Au: 0.0000 0.0000 0.3401 x4

Output
As for the total energy: -4.41 eV/atom. The density of states at the Fermi level is 5.46 states/eV/cell. The calculation puts the total moment at 0.00 μB/cell.

No. 10
A relaxed La7Ga2Au2 crystal. Source: the Alexandria database, functional GGA-PBE.

Unit cell a=8.2853 b=11.2817 c=7.3668 alpha=90.00 beta=90.00 gamma=90.00
Space group Cmmm (No. 65)
One atom of each set of equivalent atoms:
La: 0.0000 0.0000 0.0000 x2
La: 0.0000 0.5000 0.2903 x4
La: 0.2500 0.2500 0.2922 x8
Ga: 0.1541 0.0000 0.5000 x4
Au: 0.0000 0.2889 0.0000 x4

Output
As for the total energy: -4.63 eV/atom. The density of states at the Fermi level is 23.87 states/eV/cell. The calculation puts the total moment at 0.00 μB/cell.

No. 11
A relaxed LaGa3Au4 crystal. Source: the Alexandria database, functional GGA-PBE.

Unit cell a=4.4934 b=4.4934 c=8.1660 alpha=90.00 beta=90.00 gamma=90.00
Space group P4/mmm (No. 123)
One atom of each set of equivalent atoms:
La: 0.0000 0.0000 0.0000 x1
Ga: 0.0000 0.0000 0.5000 x1
Ga: 0.5000 0.5000 0.1534 x2
Au: 0.0000 0.5000 0.3165 x4

Output
As for the total energy: -3.86 eV/atom. The density of states at the Fermi level is 5.10 states/eV/cell. The calculation puts the total moment at 0.00 μB/cell.

No. 12
A relaxed La3GaAu crystal. Source: the Alexandria database, functional GGA-PBE.

Unit cell a=5.7857 b=5.7857 c=5.7857 alpha=90.00 beta=90.00 gamma=90.00
Space group Pm-3m (No. 221)
One atom of each set of equivalent atoms:
La: 0.0000 0.0000 0.5000 x3
Ga: 0.0000 0.0000 0.0000 x1
Au: 0.5000 0.5000 0.5000 x1

Output
As for the total energy: -4.14 eV/atom. The density of states at the Fermi level is 8.62 states/eV/cell. The calculation puts the total moment at 1.30 μB/cell.